The following is a DFT calculation (PBE with a Hubbard U) of a relaxed AsW3O crystal.

The energy above the most stable polymorph in this dataset comes out at 0.00 eV per formula unit.

Cell: 4.2425 4.2425 4.2425 Å, 90.00 90.00 90.00°
Space group Pm-3m (No. 221)
Asymmetric unit:
As  0.0000  0.0000  0.0000 x1
W  0.0000  0.5000  0.5000 x3
O  0.5000  0.5000  0.5000 x1